Entry from Alexandria: a relaxed structure of CsY2TiO (PBE).

Summary:
- ΔE_f (raw) (eV per formula unit) = -1.4

Lattice parameters (Å, degrees): 5.5982 5.5982 3.9579 90.00 90.00 90.00
Atoms (fractional coordinates):
Cs  0.0000  0.0000  0.0000
Y  0.0000  0.5000  0.5000
Y  0.5000  0.0000  0.5000
Ti  0.5000  0.5000  0.0000
O  0.5000  0.5000  0.5000